*a*
Material: NaBiH
Method: DFT, PBE
State: relaxed

The structure in POSCAR format:
```
NaBiH
1.0
-2.2024 2.2024 4.8537
2.2024 -2.2024 4.8537
2.2024 2.2024 -4.8537
Na Bi H
1 1 1
Direct
0.0000 0.0000 0.0000 Na
0.5796 0.5796 0.0000 Bi
0.7680 0.7680 0.0000 H
```

Symmetry: I4mm



*b*
Material: NaBiH
Method: DFT, PBE
State: relaxed

The structure in POSCAR format:
```
NaBiH
1.0
3.8993 0.0000 0.0000
-1.9496 3.3769 0.0000
0.0000 0.0000 5.0984
Na Bi H
1 1 1
Direct
0.0000 0.0000 0.0000 Na
0.6667 0.3333 0.5053 Bi
0.3333 0.6667 0.5651 H
```

Symmetry: P3m1



*c*
Material: NaBiH
Method: DFT, PBE
State: relaxed

The structure in POSCAR format:
```
NaBiH
1.0
5.2368 -2.2939 0.0000
5.2368 2.2939 0.0000
-4.0016 0.0000 5.8521
Na Bi H
2 2 2
Direct
0.0774 0.0774 0.3306 Na
0.9226 0.9226 0.6694 Na
0.3178 0.3178 0.9214 Bi
0.6822 0.6822 0.0786 Bi
0.4664 0.4664 0.4363 H
0.5336 0.5336 0.5637 H
```

Symmetry: C2/m



*d*
Material: NaBiH
Method: DFT, PBE
State: relaxed

The structure in POSCAR format:
```
NaBiH
1.0
4.1729 0.0000 0.0000
0.0000 4.1729 0.0000
0.0000 0.0000 7.3625
Na Bi H
2 2 2
Direct
0.2500 0.2500 0.0967 Na
0.7500 0.7500 0.9033 Na
0.2500 0.2500 0.5955 Bi
0.7500 0.7500 0.4045 Bi
0.2500 0.7500 0.0000 H
0.7500 0.2500 0.0000 H
```

Symmetry: P4/nmm



Which is most stable, and by how much? *c*, by 17.1 kJ/mol of atoms.



*a*
Material: NaBi3H
Method: DFT, PBE
State: relaxed

The structure in POSCAR format:
```
NaBi3H
1.0
5.5510 0.0000 0.0000
0.0000 5.5510 0.0000
0.0000 0.0000 5.5510
Na Bi H
1 3 1
Direct
0.0000 0.0000 0.0000 Na
0.0000 0.0000 0.5000 Bi
0.0000 0.5000 0.0000 Bi
0.5000 0.0000 0.0000 Bi
0.5000 0.5000 0.5000 H
```

Symmetry: Pm-3m



*b*
Material: NaBi3H
Method: DFT, PBE
State: relaxed

The structure in POSCAR format:
```
NaBi3H
1.0
5.0129 0.0000 0.0000
0.0000 5.0129 0.0000
0.0000 0.0000 5.0129
Na Bi H
1 3 1
Direct
0.0000 0.0000 0.0000 Na
0.0000 0.5000 0.5000 Bi
0.5000 0.0000 0.5000 Bi
0.5000 0.5000 0.0000 Bi
0.5000 0.5000 0.5000 H
```

Symmetry: Pm-3m



Which is most stable, and by how much? *b*, by 88.4 kJ/mol of atoms.



*a*
Material: Na3BiH
Method: DFT, PBE
State: relaxed

The structure in POSCAR format:
```
Na3BiH
1.0
9.1301 0.0000 0.0000
0.0000 6.2040 0.0000
-7.0133 0.0000 8.9309
Na Bi H
12 4 4
Direct
0.0089 0.2445 0.4070 Na
0.0089 0.2555 0.9070 Na
0.2515 0.7222 0.9516 Na
0.2515 0.7778 0.4516 Na
0.4868 0.2023 0.1463 Na
0.4868 0.2977 0.6463 Na
0.5132 0.7023 0.3537 Na
0.5132 0.7977 0.8537 Na
0.7485 0.2222 0.5484 Na
0.7485 0.2778 0.0484 Na
0.9911 0.7445 0.0930 Na
0.9911 0.7555 0.5930 Na
0.2481 0.2442 0.7715 Bi
0.2481 0.2558 0.2715 Bi
0.7519 0.7442 0.7285 Bi
0.7519 0.7558 0.2285 Bi
0.2600 0.6105 0.7649 H
0.2600 0.8895 0.2649 H
0.7400 0.1105 0.7351 H
0.7400 0.3895 0.2351 H
```

Symmetry: P2_1/c



*b*
Material: Na3BiH
Method: DFT, PBE
State: relaxed

The structure in POSCAR format:
```
Na3BiH
1.0
4.8501 0.0000 0.0000
0.0000 4.8501 0.0000
0.0000 0.0000 4.8501
Na Bi H
3 1 1
Direct
0.0000 0.0000 0.5000 Na
0.0000 0.5000 0.0000 Na
0.5000 0.0000 0.0000 Na
0.5000 0.5000 0.5000 Bi
0.0000 0.0000 0.0000 H
```

Symmetry: Pm-3m



*c*
Material: Na3BiH
Method: DFT, PBE
State: relaxed

The structure in POSCAR format:
```
Na3BiH
1.0
5.9877 -3.7790 0.0000
5.9877 3.7790 0.0000
-0.0006 0.0000 5.2876
Na Bi H
6 2 2
Direct
0.0000 0.0000 0.0000 Na
0.0003 0.4848 0.0004 Na
0.3352 0.3352 0.5016 Na
0.4848 0.0003 0.0004 Na
0.5155 0.5155 0.0003 Na
0.8178 0.8178 0.5008 Na
0.3093 0.8451 0.5000 Bi
0.8451 0.3093 0.5000 Bi
0.3351 0.3351 0.9979 H
0.8198 0.8198 0.9990 H
```

Symmetry: Cm



Which is most stable, and by how much? *c*, by 3.3 kJ/mol of atoms.



*a*
Material: Na2BiH2
Method: DFT, PBE
State: relaxed

The structure in POSCAR format:
```
Na2BiH2
1.0
8.2247 0.0000 0.0000
0.0000 8.2247 0.0000
0.0000 0.0000 3.0291
Na Bi H
4 2 4
Direct
0.1206 0.3794 0.0000 Na
0.3794 0.8794 0.0000 Na
0.6206 0.1206 0.0000 Na
0.8794 0.6206 0.0000 Na
0.0000 0.0000 0.0000 Bi
0.5000 0.5000 0.0000 Bi
0.1064 0.6064 0.5000 H
0.3936 0.1064 0.5000 H
0.6064 0.8936 0.5000 H
0.8936 0.3936 0.5000 H
```

Symmetry: P4/mbm



*b*
Material: Na2BiH2
Method: DFT, PBE
State: relaxed

The structure in POSCAR format:
```
Na2BiH2
1.0
5.1850 -2.8119 0.0000
5.1850 2.8119 0.0000
-1.5723 0.0000 6.8471
Na Bi H
4 2 4
Direct
0.0447 0.2625 0.1533 Na
0.2625 0.0447 0.6533 Na
0.7375 0.9553 0.3467 Na
0.9553 0.7375 0.8467 Na
0.4023 0.5977 0.2500 Bi
0.5977 0.4023 0.7500 Bi
0.0695 0.4948 0.5041 H
0.4948 0.0695 0.0041 H
0.5052 0.9305 0.9959 H
0.9305 0.5052 0.4959 H
```

Symmetry: C2/c



*c*
Material: Na2BiH2
Method: DFT, PBE
State: relaxed

The structure in POSCAR format:
```
Na2BiH2
1.0
7.2683 0.0000 0.0000
0.0000 7.2683 0.0000
0.0000 0.0000 3.4364
Na Bi H
4 2 4
Direct
0.1536 0.3464 0.0000 Na
0.3464 0.8464 0.0000 Na
0.6536 0.1536 0.0000 Na
0.8464 0.6536 0.0000 Na
0.0000 0.0000 0.5000 Bi
0.5000 0.5000 0.5000 Bi
0.1541 0.6541 0.5000 H
0.3459 0.1541 0.5000 H
0.6541 0.8459 0.5000 H
0.8459 0.3459 0.5000 H
```

Symmetry: P4/mbm



Which is most stable, and by how much? *b*, by 28.4 kJ/mol of atoms.



*a*
Material: NaBiHS2
Method: DFT, PBE
State: relaxed

The structure in POSCAR format:
```
NaBiHS2
1.0
4.9848 0.0000 0.0000
0.0000 4.9848 0.0000
0.0000 0.0000 3.8721
Na Bi H S
1 1 1 2
Direct
0.0000 0.0000 0.0000 Na
0.5000 0.5000 0.0000 Bi
0.5000 0.5000 0.5000 H
0.0000 0.5000 0.5000 S
0.5000 0.0000 0.5000 S
```

Symmetry: P4/mmm



*b*
Material: NaBiHS2
Method: DFT, PBE
State: relaxed

The structure in POSCAR format:
```
NaBiHS2
1.0
7.1319 0.0000 0.0000
0.0000 3.8548 0.0000
-3.2858 0.0000 8.1652
Na Bi H S
2 2 2 4
Direct
0.0000 0.2288 0.2500 Na
0.0000 0.7712 0.7500 Na
0.5000 0.0297 0.7500 Bi
0.5000 0.9703 0.2500 Bi
0.5000 0.5000 0.0000 H
0.5000 0.5000 0.5000 H
0.2829 0.2850 0.9414 S
0.2829 0.7150 0.4414 S
0.7171 0.2850 0.5586 S
0.7171 0.7150 0.0586 S
```

Symmetry: P2/c



Which is most stable, and by how much? *b*, by 41.2 kJ/mol of atoms.



*a*
Material: Na2SnBiH
Method: DFT, PBE
State: relaxed

The structure in POSCAR format:
```
Na2SnBiH
1.0
4.7715 0.0000 0.0000
0.0000 4.7715 0.0000
0.0000 0.0000 4.9174
Na Sn Bi H
2 1 1 1
Direct
0.0000 0.5000 0.0000 Na
0.5000 0.0000 0.0000 Na
0.0000 0.0000 0.5000 Sn
0.5000 0.5000 0.5000 Bi
0.0000 0.0000 0.0000 H
```

Symmetry: P4/mmm



*b*
Material: Na2SnBiH
Method: DFT, PBE
State: relaxed

The structure in POSCAR format:
```
Na2SnBiH
1.0
4.8170 0.0000 0.0000
0.0000 4.8170 0.0000
0.0000 0.0000 4.8633
Na Sn Bi H
2 1 1 1
Direct
0.0000 0.5000 0.0000 Na
0.5000 0.0000 0.0000 Na
0.0000 0.0000 0.5000 Sn
0.5000 0.5000 0.5000 Bi
0.5000 0.5000 0.0000 H
```

Symmetry: P4/mmm



Which is most stable, and by how much? *a*, by 6.5 kJ/mol of atoms.